Entry 1:
A relaxed structure of RbAuIN2. Source: the Alexandria database, functional PBEsol.

Lattice parameters (Å, degrees): 5.0126 5.0126 7.0609 90.00 90.00 90.00
Element x y z (fractional)
I 0.0000 0.0000 0.5000
Au 0.5000 0.5000 0.5000
Rb 0.0000 0.0000 0.0000
N 0.0000 0.5000 0.0000
N 0.5000 0.0000 0.0000

Summary:
**Space-group type**: No. 123

Entry 2:
A relaxed structure of ReAuIN2. Source: the Alexandria database, functional PBEsol.

Lattice parameters (Å, degrees): 3.8611 3.8611 5.8099 90.00 90.00 90.00
Element x y z (fractional)
I 0.0000 0.0000 0.5000
Re 0.0000 0.0000 0.0000
Au 0.5000 0.5000 0.5000
N 0.0000 0.5000 0.0000
N 0.5000 0.0000 0.0000

Summary:
**Space-group type**: No. 123

Entry 3:
A relaxed structure of RuAuIN2. Source: the Alexandria database, functional PBEsol.

Lattice parameters (Å, degrees): 3.8116 3.8116 5.8334 90.00 90.00 90.00
Element x y z (fractional)
I 0.0000 0.0000 0.5000
Ru 0.0000 0.0000 0.0000
Au 0.5000 0.5000 0.5000
N 0.0000 0.5000 0.0000
N 0.5000 0.0000 0.0000

Summary:
**Space-group type**: No. 123

Calculated values (eV/atom) of formation energy from raw total energies for the records, taken in order: 2.1876; 0.6384; 0.8587.